DFT (PBE) results for crystalline ZnCdIr3 at its relaxed geometry.

- energy above the lowest structure with this stoichiometry (meV/atom) = 969.1
- energy of formation from the pure elements (meV/atom) = 2277
- D(E_F) (states/eV/f.u.) = 8.4

Unit cell a=4.8659 b=4.8659 c=4.8659 alpha=90.00 beta=90.00 gamma=90.00
Atoms (fractional coordinates):
Ir  0.0000  0.5000  0.0000
Ir  0.5000  0.0000  0.0000
Ir  0.0000  0.0000  0.5000
Cd  0.0000  0.0000  0.0000
Zn  0.5000  0.5000  0.5000